Arrangement A

Computed, not measured: crystalline BaTeO4 at its relaxed geometry at the PBE level of DFT.

Calculated values
density = 5916 kg/m3
total moment = 0.0 μB per cell

Unit cell a=4.062 b=15.013 c=6.055 alpha=90.00 beta=90.00 gamma=90.00
Space group Cmcm (No. 63)
Asymmetric unit:
Ba 0.000 0.148 0.250 [4 per cell]
Te 0.000 0.409 0.250 [4 per cell]
O 0.000 0.072 0.750 [4 per cell]
O 0.000 0.322 0.029 [8 per cell]
O 0.000 0.500 0.000 [4 per cell]


Arrangement B

Computed, not measured: crystalline BaTeO4 at its relaxed geometry at the PBE level of DFT.

Calculated values
density = 4831 kg/m3
total moment = 0.0 μB per cell

Unit cell a=6.261 b=7.886 c=9.161 alpha=90.00 beta=91.48 gamma=90.00
Space group P2_1/c (No. 14)
Asymmetric unit:
Ba 0.174 0.171 0.307 [4 per cell]
Te 0.291 0.685 0.456 [4 per cell]
O 0.075 0.655 0.934 [4 per cell]
O 0.217 0.520 0.321 [4 per cell]
O 0.266 0.613 0.647 [4 per cell]
O 0.437 0.229 0.564 [4 per cell]


Preferred: arrangement B; penalty for the next structure: 6.3 kJ/mol of atoms.


Arrangement A

Computed, not measured: crystalline Ba2TeO at its relaxed geometry at the PBE level of DFT.

Calculated values
density = 5010 kg/m3
total moment = 0.0 μB per cell

Unit cell a=7.830 b=7.830 c=9.045 alpha=90.00 beta=90.00 gamma=90.00
Space group I-42d (No. 122)
Asymmetric unit:
Ba 0.158 0.250 0.125 [8 per cell]
Te 0.000 0.000 0.500 [4 per cell]
O 0.000 0.000 0.000 [4 per cell]


Arrangement B

Computed, not measured: crystalline Ba2TeO at its relaxed geometry at the PBE level of DFT.

Calculated values
density = 5639 kg/m3
total moment = 0.0 μB per cell

Unit cell a=7.898 b=7.898 c=7.898 alpha=90.00 beta=90.00 gamma=90.00
Space group Fm-3m (No. 225)
Asymmetric unit:
Ba 0.250 0.250 0.250 [8 per cell]
Te 0.000 0.000 0.000 [4 per cell]
O 0.000 0.000 0.500 [4 per cell]


Preferred: arrangement A; penalty for the next structure: 57.8 kJ/mol of atoms.


Arrangement A

Computed, not measured: crystalline Ba2TeO at its relaxed geometry at the PBE level of DFT.

Calculated values
density = 5211 kg/m3
total moment = 0.0 μB per cell

Unit cell a=5.120 b=5.120 c=10.167 alpha=90.00 beta=90.00 gamma=90.00
Space group P4/nmm (No. 129, origin choice 2)
Asymmetric unit:
Ba 0.250 0.250 0.167 [2 per cell]
Ba 0.250 0.750 0.500 [2 per cell]
Te 0.250 0.250 0.801 [2 per cell]
O 0.250 0.250 0.412 [2 per cell]


Arrangement B

Computed, not measured: crystalline Ba2TeO at its relaxed geometry at the PBE level of DFT.

Calculated values
density = 5470 kg/m3
total moment = 0.0 μB per cell

Unit cell a=4.4097 b=4.4097 c=22.6179 alpha=90.00 beta=90.00 gamma=120.00
Space group R-3m (No. 166, hexagonal axes)
Asymmetric unit:
Ba 0.0000 0.0000 0.2327 [6 per cell]
Te 0.0000 0.0000 0.0000 [3 per cell]
O 0.0000 0.0000 0.5000 [3 per cell]


Preferred: arrangement A; penalty for the next structure: 21.6 kJ/mol of atoms.